A plane-wave DFT calculation with PBE was carried out for crystalline Cs2VSi at its relaxed geometry.

a b c (Å): 6.121 6.121 6.121
angles (deg): 60.00 60.00 60.00
Last column: magnetic moment on the atom in μB.
Fractional coordinates of all 4 atoms:
Cs 0.250 0.250 0.250  0.00
Cs 0.750 0.750 0.750  0.00
Si 0.000 0.000 0.000  -0.43
V 0.500 0.500 0.500  3.35

Results
E above lowest polymorph in meV per atom: 608
Formation energy without anion corrections in meV/atom: 1268.2
Space group: Fm-3m (225)
N(E_F) in states/eV/atom: 2.05